[1]
Entry from Alexandria via LeMat-Bulk: a relaxed CsCd6Hg2 crystal (PBE).

Its formation energy is -0.07 eV/atom. The energy above the most stable polymorph in this dataset comes out at 0 kJ/mol of formula units. The total energy is -0.841 eV/atom.

The structure belongs to space group P4/mmm (No. 123); the cell edges are 4.8020, 4.8020 and 10.8859 Å and the angles 90.00°, 90.00° and 90.00°. Symmetry generates all atoms from Cs at (0.0000, 0.0000, 0.0000), Cd at (0.0000, 0.0000, 0.5000), Cd at (0.0000, 0.5000, 0.3156), Cd at (0.5000, 0.5000, 0.5000) and Hg at (0.5000, 0.5000, 0.1471).

=====

[2]
Entry from Alexandria via LeMat-Bulk: a relaxed CsCd6Hg2 crystal (PBE).

Its formation energy is 0.01 eV/atom. The energy above the most stable polymorph in this dataset comes out at 71 kJ/mol of formula units. The total energy is -0.759 eV/atom.

The structure belongs to space group C2/m (No. 12); the cell edges are 12.4096, 9.4694 and 4.9216 Å and the angles 90.00°, 93.82° and 90.00°. Symmetry generates all atoms from Cs at (0.0000, 0.0000, 0.0000), Cd at (0.0000, 0.3334, 0.5000), Cd at (0.2036, 0.3176, 0.2370) and Hg at (0.2033, 0.5000, 0.7458).

=====

[3]
Entry from Alexandria via LeMat-Bulk: a relaxed Cs2Cd3Hg9 crystal (PBE).

Its formation energy is -0.13 eV/atom. The total energy is -0.641 eV/atom.

The structure belongs to space group C2/c (No. 15); the cell edges are 16.4060, 9.1757 and 12.8767 Å and the angles 90.00°, 115.71° and 90.00°. Symmetry generates all atoms from Cs at (0.1688, 0.0837, 0.2472), Cd at (0.0863, 0.2312, 0.4956), Cd at (0.2500, 0.2500, 0.0000), Hg at (0.0000, 0.3778, 0.2500), Hg at (0.0583, 0.0975, 0.9218), Hg at (0.0946, 0.4189, 0.0442), Hg at (0.1024, 0.3205, 0.7438) and Hg at (0.2187, 0.4212, 0.4303).